(1)
Compound: Ac2PmPr3
Source: Alexandria via LeMat-Bulk
Functional: PBE
Structure: optimized geometry

calculated density: 7.3 g/cm3
DFT formation energy: 17 kJ/mol of formula units
Fermi-level density of states: 10.6 states/eV/f.u.
excess energy over the best structure of this formula in the dataset: 0.0 meV/atom
energy: -54.25 eV per cell
SG: P-1

The structure in POSCAR format:
```
Ac2PmPr3
1.0
6.5662 0.0000 0.0000
2.1862 8.2336 0.0000
0.0092 3.5326 8.6096
Ac Pm Pr
4 2 6
Cartesian
0.5929 2.0826 2.5279
3.8553 7.3047 0.3797
4.9065 4.4615 8.2299
8.1689 9.6836 6.0817
2.7390 3.2743 5.3499
6.0227 8.4919 3.2597
1.6405 6.2091 7.4942
2.7404 6.7078 3.9636
3.8464 3.8337 1.8251
4.9154 7.9325 6.7844
6.0213 5.0584 4.6459
7.1213 5.5571 1.1154
```

---

(2)
Compound: Ac5Pm3Pr3
Source: Alexandria via LeMat-Bulk
Functional: PBE
Structure: optimized geometry

calculated density: 7.3 g/cm3
DFT formation energy: 293 kJ/mol of formula units
Fermi-level density of states: 16.4 states/eV/f.u.
energy: -46.10 eV per cell
SG: P-62m

The structure in POSCAR format:
```
Ac5Pm3Pr3
1.0
11.8712 0.0000 0.0000
-5.9356 10.2807 0.0000
0.0000 0.0000 3.6921
Ac Pm Pr
5 3 3
Cartesian
-2.0344 3.5237 0.0000
0.0000 6.8538 0.0000
4.0688 0.0000 0.0000
3.9012 6.7571 0.0000
5.9356 3.4269 0.0000
-3.5898 6.2177 1.8460
2.3458 4.0631 1.8460
7.1795 0.0000 1.8460
-4.9863 8.6366 0.0000
0.9492 1.6441 0.0000
9.9727 0.0000 0.0000
```

---

(3)
Compound: Ac3Pm2Pr5
Source: Alexandria via LeMat-Bulk
Functional: PBE
Structure: optimized geometry

calculated density: 7.1 g/cm3
DFT formation energy: 146 kJ/mol of formula units
Fermi-level density of states: 18.5 states/eV/f.u.
energy: -88.42 eV per cell
SG: C2/c

The structure in POSCAR format:
```
Ac3Pm2Pr5
1.0
5.8669 -8.3599 0.0000
5.8669 8.3599 0.0000
-5.8632 0.0000 7.9517
Ac Pm Pr
6 4 10
Cartesian
-1.4647 1.9788 5.9727
1.4695 4.6167 5.9638
1.4669 -1.9788 1.9969
4.4036 1.9788 5.9549
4.4011 -4.6167 1.9879
7.3353 -1.9788 1.9790
1.4889 1.9591 3.5992
-1.4427 -1.9591 7.5750
7.3133 1.9591 0.3767
4.3817 -1.9591 4.3526
1.4695 7.9645 5.9638
1.4933 2.0861 0.4324
4.4011 3.7653 1.9879
-1.4383 -2.0861 4.4083
4.4011 0.5385 1.9879
1.4695 -0.5385 5.9638
7.3089 2.0861 3.5434
1.4695 -3.7653 5.9638
4.3773 -2.0861 7.5193
4.4011 -7.9645 1.9879
```

---

(4)
Compound: Ac2PmPr4
Source: Alexandria via LeMat-Bulk
Functional: PBE
Structure: optimized geometry

calculated density: 7.2 g/cm3
DFT formation energy: 17 kJ/mol of formula units
Fermi-level density of states: 12.6 states/eV/f.u.
excess energy over the best structure of this formula in the dataset: 7.5 meV/atom
energy: -63.81 eV per cell
SG: P-1

The structure in POSCAR format:
```
Ac2PmPr4
1.0
7.5846 0.0000 0.0000
1.9012 8.2070 0.0000
0.0185 3.3994 8.6271
Ac Pm Pr
4 2 8
Cartesian
0.0000 0.0000 0.0000
1.9246 7.3490 3.7157
3.7923 0.0000 0.0000
7.5798 4.2574 4.9114
1.9358 2.1799 2.4614
7.5686 9.4265 6.1658
1.9264 6.4764 7.4107
3.8469 9.4385 6.1591
3.8131 5.1172 1.2608
3.8043 4.2710 4.9427
5.7001 7.3354 3.6844
5.6913 6.4892 7.3663
5.6575 2.1679 2.4680
7.5779 5.1300 1.2164
```

---

(5)
Compound: AcPm6Pr5
Source: Alexandria via LeMat-Bulk
Functional: PBE
Structure: optimized geometry

calculated density: 6.9 g/cm3
DFT formation energy: 20 kJ/mol of formula units
Fermi-level density of states: 18.2 states/eV/f.u.
energy: -56.30 eV per cell
SG: C2/m

The structure in POSCAR format:
```
AcPm6Pr5
1.0
3.2161 -5.5699 0.0000
3.2161 5.5699 0.0000
-2.1474 0.0000 12.0495
Ac Pm Pr
1 6 5
Cartesian
0.0000 0.0000 0.0000
1.0741 1.8681 3.0392
0.0135 0.0000 9.0072
1.0741 -1.8681 3.0392
3.2107 1.8681 9.0103
4.2713 0.0000 3.0423
3.2107 -1.8681 9.0103
2.1424 3.7103 6.0248
3.2161 1.8543 0.0000
2.1424 0.0000 6.0248
3.2161 -1.8543 0.0000
2.1424 -3.7103 6.0248
```

---

(6)
Compound: Ac2PmPr3
Source: Alexandria via LeMat-Bulk
Functional: PBE
Structure: optimized geometry

calculated density: 7.3 g/cm3
DFT formation energy: 48 kJ/mol of formula units
Fermi-level density of states: 8.7 states/eV/f.u.
excess energy over the best structure of this formula in the dataset: 52.7 meV/atom
energy: -53.62 eV per cell
SG: Pnnm

The structure in POSCAR format:
```
Ac2PmPr3
1.0
7.3212 0.0000 0.0000
0.0000 10.4216 0.0000
0.0000 0.0000 6.0563
Ac Pm Pr
4 2 6
Cartesian
1.8262 1.7380 0.0000
1.8344 6.9488 3.0282
5.4868 3.4728 3.0282
5.4950 8.6836 0.0000
0.0000 0.0000 3.0282
3.6606 5.2108 0.0000
0.0000 5.2108 0.0000
1.8282 3.4583 3.0282
1.8324 8.6691 0.0000
3.6606 0.0000 3.0282
5.4888 1.7525 0.0000
5.4930 6.9632 3.0282
```